[1]
! LiMnVF6, relaxed, DFT PBE with a Hubbard U; values from VASP
! Calculated density ... 3.51 g/cm³
! Polymorph energy (0 for the lowest one) ... 0.0000 eV per atom
! Space-group type ... P321
&SYSTEM
  ibrav = 0, nat = 27, ntyp = 4
/
ATOMIC_SPECIES
F 19.00 F.upf
Mn 54.94 Mn.upf
Li 6.94 Li.upf
V 50.94 V.upf
CELL_PARAMETERS angstrom
8.862 0.000 0.000
-4.431 7.675 0.000
0.000 0.000 4.733
ATOMIC_POSITIONS crystal
F 0.562 0.781 0.724
F 0.438 0.220 0.276
F 0.885 0.778 0.761
F 0.780 0.219 0.276
F 0.109 0.533 0.271
F 0.533 0.109 0.729
F 0.220 0.438 0.724
F 0.892 0.115 0.761
F 0.781 0.562 0.276
F 0.108 0.222 0.239
F 0.222 0.108 0.761
F 0.891 0.425 0.729
F 0.778 0.885 0.239
F 0.425 0.891 0.271
F 0.115 0.892 0.239
F 0.219 0.780 0.724
F 0.575 0.467 0.729
F 0.467 0.575 0.271
Mn 0.352 0.352 0.000
Mn 0.000 0.648 0.000
Mn 0.648 0.000 0.000
Li 0.000 0.000 0.000
Li 0.667 0.333 0.500
Li 0.333 0.667 0.500
V 0.316 0.000 0.500
V 0.000 0.316 0.500
V 0.684 0.684 0.500


[2]
! LiMnZn2F8, relaxed, DFT PBE with a Hubbard U; values from VASP
! Calculated density ... 3.83 g/cm³
! Total energy ... -0.3342 Ry/atom
! Space-group type ... I-4m2
&SYSTEM
  ibrav = 0, nat = 12, ntyp = 4
/
ATOMIC_SPECIES
F 19.00 F.upf
Li 6.94 Li.upf
Zn 65.41 Zn.upf
Mn 54.94 Mn.upf
CELL_PARAMETERS angstrom
-2.418 -1.680 4.991
5.052 -2.814 -0.369
0.789 5.739 -0.116
ATOMIC_POSITIONS crystal
F 0.904 0.692 0.212
F 0.308 0.520 0.212
F 0.480 0.692 0.788
F 0.954 0.652 0.698
F 0.308 0.096 0.788
F 0.954 0.255 0.302
F 0.745 0.046 0.698
F 0.348 0.046 0.302
Li 0.000 0.000 0.000
Zn 0.750 0.250 0.500
Zn 0.500 0.500 0.000
Mn 0.250 0.750 0.500


[3]
! Li2MnZnF, relaxed, DFT PBE with a Hubbard U; values from VASP
! Calculated density ... 2.21 g/cm³
! Total energy ... -0.2132 Ry/atom
! Space-group type ... P4/mmm
&SYSTEM
  ibrav = 0, nat = 5, ntyp = 4
/
ATOMIC_SPECIES
Zn 65.41 Zn.upf
Li 6.94 Li.upf
Mn 54.94 Mn.upf
F 19.00 F.upf
CELL_PARAMETERS angstrom
4.826 0.000 0.000
0.000 4.953 0.000
0.000 0.000 4.826
ATOMIC_POSITIONS crystal
Zn 0.000 0.000 0.000
Li 0.500 0.000 0.000
Li 0.000 0.000 0.500
Mn 0.000 0.500 0.000
F 0.500 0.500 0.500


[4]
! LiMnZnF6, relaxed, DFT PBE with a Hubbard U; values from VASP
! Calculated density ... 3.91 g/cm³
! Total energy ... -0.3545 Ry/atom
! Space-group type ... P4_2nm
&SYSTEM
  ibrav = 0, nat = 18, ntyp = 4
/
ATOMIC_SPECIES
F 19.00 F.upf
Zn 65.41 Zn.upf
Li 6.94 Li.upf
Mn 54.94 Mn.upf
CELL_PARAMETERS angstrom
-3.272 1.291 -3.129
0.274 -4.237 -2.035
-6.618 -3.132 5.628
ATOMIC_POSITIONS crystal
F 0.809 0.191 0.176
F 0.691 0.691 0.991
F 0.191 0.809 0.176
F 0.809 0.191 0.491
F 0.292 0.292 0.333
F 0.708 0.708 0.333
F 0.309 0.309 0.991
F 0.792 0.208 0.833
F 0.309 0.309 0.676
F 0.208 0.792 0.833
F 0.191 0.809 0.491
F 0.691 0.691 0.676
Zn 0.500 0.500 0.498
Zn 0.000 0.000 0.998
Li 0.000 0.000 0.667
Li 0.500 0.500 0.167
Mn 0.500 0.500 0.834
Mn 0.000 0.000 0.334


[5]
! Li2MnZnF8, relaxed, DFT PBE with a Hubbard U; values from VASP
! Calculated density ... 3.41 g/cm³
! Total energy ... -0.3386 Ry/atom
! Space-group type ... I-4m2
&SYSTEM
  ibrav = 0, nat = 12, ntyp = 4
/
ATOMIC_SPECIES
Li 6.94 Li.upf
F 19.00 F.upf
Zn 65.41 Zn.upf
Mn 54.94 Mn.upf
CELL_PARAMETERS angstrom
-1.573 2.169 5.002
1.639 -5.265 1.339
4.110 3.008 -2.501
ATOMIC_POSITIONS crystal
Li 0.750 0.250 0.500
Li 0.500 0.500 0.000
F 0.741 0.045 0.696
F 0.493 0.699 0.793
F 0.301 0.507 0.207
F 0.349 0.045 0.304
F 0.301 0.094 0.793
F 0.906 0.699 0.207
F 0.955 0.259 0.304
F 0.955 0.651 0.696
Zn 0.000 0.000 0.000
Mn 0.250 0.750 0.500


[6]
! LiMoF4, relaxed, DFT PBE with a Hubbard U; values from VASP
! Calculated density ... 3.85 g/cm³
! Total energy ... -0.3997 Ry/atom
! Space-group type ... P2_1/c
&SYSTEM
  ibrav = 0, nat = 12, ntyp = 3
/
ATOMIC_SPECIES
F 19.00 F.upf
Mo 95.94 Mo.upf
Li 6.94 Li.upf
CELL_PARAMETERS angstrom
4.925 0.000 0.000
0.000 4.912 -3.006
0.000 -0.062 6.421
ATOMIC_POSITIONS crystal
F 0.698 0.691 0.846
F 0.293 0.315 0.655
F 0.707 0.685 0.345
F 0.802 0.191 0.346
F 0.207 0.815 0.155
F 0.793 0.185 0.845
F 0.302 0.309 0.154
F 0.198 0.809 0.654
Mo 0.000 0.000 0.000
Mo 0.500 0.500 0.500
Li 0.000 0.000 0.500
Li 0.500 0.500 0.000


[7]
! LiMo2F, relaxed, DFT PBE with a Hubbard U; values from VASP
! Calculated density ... 5.15 g/cm³
! Polymorph energy (0 for the lowest one) ... 0.0000 eV per atom
! Space-group type ... I-42d
&SYSTEM
  ibrav = 0, nat = 8, ntyp = 3
/
ATOMIC_SPECIES
F 19.00 F.upf
Mo 95.94 Mo.upf
Li 6.94 Li.upf
CELL_PARAMETERS angstrom
-2.260 2.089 -1.847
-0.792 -2.761 -2.154
-9.652 -3.218 4.681
ATOMIC_POSITIONS crystal
F 0.000 0.000 0.000
F 0.750 0.250 0.500
Mo 0.375 0.382 0.750
Mo 0.132 0.625 0.250
Mo 0.875 0.868 0.750
Mo 0.618 0.125 0.250
Li 0.250 0.750 0.500
Li 0.500 0.500 0.000


[8]
! LiMo2F, relaxed, DFT PBE with a Hubbard U; values from VASP
! Calculated density ... 6.62 g/cm³
! Polymorph energy (0 for the lowest one) ... 0.5516 eV per atom
! Space-group type ... Fm-3m
&SYSTEM
  ibrav = 0, nat = 4, ntyp = 3
/
ATOMIC_SPECIES
Mo 95.94 Mo.upf
F 19.00 F.upf
Li 6.94 Li.upf
CELL_PARAMETERS angstrom
0.000 3.011 3.011
3.011 0.000 3.011
3.011 3.011 0.000
ATOMIC_POSITIONS crystal
Mo 0.750 0.750 0.750
Mo 0.250 0.250 0.250
F 0.500 0.500 0.500
Li 0.000 0.000 0.000